Computed, not measured: a geometry-optimized BaCoRh2 structure at the GGA-PBE level of DFT.

The structure belongs to space group Immm (No. 71); the cell edges are 3.321, 5.346 and 9.062 Å and the angles 90.00°, 90.00° and 90.00°. The asymmetric unit holds Ba at (0.000, 0.000, 0.000), Co at (0.000, 0.000, 0.500) and Rh at (0.000, 0.500, 0.196).

Its crystal system is orthorhombic.

=====

Computed, not measured: a geometry-optimized BaCo2Rh structure at the GGA-PBE level of DFT.

The structure belongs to space group Pmmm (No. 47); the cell edges are 4.232, 4.492 and 5.048 Å and the angles 90.00°, 90.00° and 90.00°. The asymmetric unit holds Ba at (0.000, 0.000, 0.000), Co at (0.500, 0.238, 0.500) and Rh at (0.000, 0.500, 0.500).

Its crystal system is orthorhombic.

=====

Computed, not measured: a geometry-optimized BaCo2Rh structure at the GGA-PBE level of DFT.

The structure belongs to space group Cmmm (No. 65); the cell edges are 6.189, 7.181 and 3.227 Å and the angles 90.00°, 90.00° and 90.00°. The asymmetric unit holds Ba at (0.000, 0.000, 0.000), Co at (0.250, 0.250, 0.500) and Rh at (0.000, 0.500, 0.000).

Its crystal system is orthorhombic.

=====

Computed, not measured: a geometry-optimized BaCo4Rh structure at the GGA-PBE level of DFT.

The structure belongs to space group F-43m (No. 216); the cell edges are 7.224, 7.224 and 7.224 Å and the angles 90.00°, 90.00° and 90.00°. The asymmetric unit holds Ba at (0.000, 0.000, 0.000), Co at (0.123, 0.123, 0.623) and Rh at (0.250, 0.250, 0.250).

Its crystal system is cubic.

=====

Computed, not measured: a geometry-optimized BaCoRh2 structure at the GGA-PBE level of DFT.

The structure belongs to space group Cm (No. 8); the cell edges are 7.554, 4.362 and 6.122 Å and the angles 90.00°, 114.33° and 90.00°. The asymmetric unit holds Ba at (0.000, 0.000, 0.000), Co at (0.184, 0.000, 0.548), Rh at (0.004, 0.500, 0.509) and Rh at (0.315, 0.500, 0.442).

Its crystal system is monoclinic.

=====

Computed, not measured: a geometry-optimized BaCoRh2 structure at the GGA-PBE level of DFT.

The structure belongs to space group Pmmm (No. 47); the cell edges are 3.236, 4.721 and 4.975 Å and the angles 90.00°, 90.00° and 90.00°. The asymmetric unit holds Ba at (0.000, 0.000, 0.000), Co at (0.500, 0.000, 0.500), Rh at (0.000, 0.500, 0.500) and Rh at (0.500, 0.500, 0.000).

Its crystal system is orthorhombic.

=====

Theoretical density readings, ordered: 8.30; 6.20; 8.29; 8.39; 7.26; 8.78 g/cm³
Energy of formation readings, ordered: 0.49; 0.42; 0.86; 0.55; 0.02; 0.71 eV/atom